# 1
Below is K2YCdF6 after structural relaxation, with properties calculated at the PBE-GGA level.

Computed properties:
SG = Pmmn (59)

Cell lengths 6.4655, 6.8937, 9.2133 Å; angles 90.00, 90.00, 90.00 degrees
Site moments in Bohr magnetons follow the coordinates.
Fractional coordinates of all 20 atoms:
K (0.5000, 0.8004, 0.2154)  0.00
K (0.0000, 0.1996, 0.7154)  0.00
K (0.5000, 0.8004, 0.7846)  0.00
K (0.0000, 0.1996, 0.2846)  0.00
Y (0.5000, 0.2122, 0.5000)  0.03
Y (0.0000, 0.7878, 0.0000)  0.03
Cd (0.0000, 0.7132, 0.5000)  0.29
Cd (0.5000, 0.2868, 0.0000)  0.29
F (0.5000, 0.1881, 0.2632)  0.03
F (0.5000, 0.1881, 0.7368)  0.03
F (0.0000, 0.8119, 0.2368)  0.03
F (0.0000, 0.8119, 0.7632)  0.03
F (0.2627, 0.9818, 0.5000)  0.02
F (0.7373, 0.9818, 0.5000)  0.02
F (0.2380, 0.4097, 0.5000)  0.03
F (0.7620, 0.4097, 0.5000)  0.03
F (0.7380, 0.5903, 0.0000)  0.03
F (0.2620, 0.5903, 0.0000)  0.03
F (0.2373, 0.0182, 0.0000)  0.02
F (0.7627, 0.0182, 0.0000)  0.02



# 2
Below is KYCdF6 after structural relaxation, with properties calculated at the PBE-GGA level.

Computed properties:
SG = Imma (74)

Cell lengths 8.3519, 7.9835, 8.3023 Å; angles 118.74, 120.20, 90.00 degrees
Fractional coordinates of all 18 atoms:
K (0.7858, 0.5358, 0.5716)
K (0.2142, 0.4642, 0.4284)
Y (0.5000, 0.0000, 0.5000)
Y (0.0000, 0.0000, 0.5000)
Cd (0.5000, 0.5000, 0.0000)
Cd (0.5000, 0.0000, 0.0000)
F (0.4252, 0.6752, 0.8504)
F (0.8116, 0.0616, 0.6231)
F (0.8247, 0.0896, 0.2712)
F (0.4464, 0.6816, 0.2712)
F (0.4464, 0.0896, 0.2712)
F (0.8247, 0.6816, 0.2712)
F (0.5748, 0.3248, 0.1496)
F (0.1884, 0.9384, 0.3769)
F (0.1753, 0.9104, 0.7288)
F (0.5536, 0.3184, 0.7288)
F (0.5536, 0.9104, 0.7288)
F (0.1753, 0.3184, 0.7288)



# 3
Below is K3ZnCd2F9 after structural relaxation, with properties calculated at the PBE-GGA level.

Computed properties:
SG = P-3m1 (164)

Cell lengths 6.1470, 6.1470, 7.5448 Å; angles 90.00, 90.00, 120.00 degrees
Fractional coordinates of all 15 atoms:
K (0.3333, 0.6667, 0.6672)
K (0.0000, 0.0000, 0.0000)
K (0.6667, 0.3333, 0.3328)
Zn (0.0000, 0.0000, 0.5000)
Cd (0.3333, 0.6667, 0.1784)
Cd (0.6667, 0.3333, 0.8216)
F (0.8413, 0.1587, 0.6560)
F (0.8413, 0.6825, 0.6560)
F (0.3175, 0.1587, 0.6560)
F (0.6825, 0.8413, 0.3440)
F (0.1587, 0.3175, 0.3440)
F (0.1587, 0.8413, 0.3440)
F (0.5000, 0.0000, 0.0000)
F (0.0000, 0.5000, 0.0000)
F (0.5000, 0.5000, 0.0000)



# 4
Below is K3Zn2CdF9 after structural relaxation, with properties calculated at the PBE-GGA level.

Computed properties:
SG = P-3m1 (164)

Cell lengths 5.9802, 5.9802, 7.3685 Å; angles 90.00, 90.00, 120.00 degrees
Fractional coordinates of all 15 atoms:
K (0.3333, 0.6667, 0.6736)
K (0.0000, 0.0000, 0.0000)
K (0.6667, 0.3333, 0.3264)
Zn (0.3333, 0.6667, 0.1570)
Zn (0.6667, 0.3333, 0.8430)
Cd (0.0000, 0.0000, 0.5000)
F (0.8266, 0.1734, 0.6797)
F (0.8266, 0.6533, 0.6797)
F (0.3467, 0.1734, 0.6797)
F (0.6533, 0.8266, 0.3203)
F (0.1734, 0.3467, 0.3203)
F (0.1734, 0.8266, 0.3203)
F (0.5000, 0.0000, 0.0000)
F (0.0000, 0.5000, 0.0000)
F (0.5000, 0.5000, 0.0000)



# 5
Below is K2Zn3CdF12 after structural relaxation, with properties calculated at the PBE-GGA level.

Computed properties:
SG = R-3m (166)

Cell lengths 7.3350, 7.3350, 7.3350 Å; angles 61.53, 61.53, 61.53 degrees
Site moments in Bohr magnetons follow the coordinates.
Fractional coordinates of all 18 atoms:
K (0.6260, 0.6260, 0.6260)  0.00
K (0.3740, 0.3740, 0.3740)  0.00
Zn (0.5000, 0.0000, 0.0000)  0.14
Zn (0.0000, 0.5000, 0.0000)  0.14
Zn (0.0000, 0.0000, 0.5000)  0.14
Cd (0.0000, 0.0000, 0.0000)  0.02
F (0.3033, 0.3033, 0.9119)  0.08
F (0.8986, 0.8986, 0.3686)  0.10
F (0.3686, 0.8986, 0.8986)  0.10
F (0.9119, 0.3033, 0.3033)  0.08
F (0.8986, 0.3686, 0.8986)  0.10
F (0.3033, 0.9119, 0.3033)  0.08
F (0.6967, 0.6967, 0.0881)  0.08
F (0.1014, 0.1014, 0.6314)  0.10
F (0.6314, 0.1014, 0.1014)  0.10
F (0.0881, 0.6967, 0.6967)  0.08
F (0.1014, 0.6314, 0.1014)  0.10
F (0.6967, 0.0881, 0.6967)  0.08



# 6
Below is KZnCdF6 after structural relaxation, with properties calculated at the PBE-GGA level.

Computed properties:
SG = P312 (149)

Cell lengths 5.7019, 5.7019, 5.5471 Å; angles 90.01, 89.99, 59.98 degrees
Site moments in Bohr magnetons follow the coordinates.
Fractional coordinates of all 9 atoms:
K (0.0000, 0.0000, 0.0000)  0.00
Zn (0.3333, 0.3334, 0.5000)  0.19
Cd (0.6666, 0.6666, 0.5000)  0.06
F (0.0308, 0.3608, 0.2966)  0.13
F (0.3607, 0.0308, 0.7034)  0.13
F (0.6084, 0.3609, 0.7034)  0.13
F (0.0307, 0.6085, 0.7033)  0.13
F (0.3608, 0.6084, 0.2966)  0.13
F (0.6085, 0.0307, 0.2967)  0.13



# 7
Below is La4Cd2F after structural relaxation, with properties calculated at the PBE-GGA level.

Computed properties:
SG = I4/mmm (139)

Cell lengths 5.0931, 5.0931, 8.9733 Å; angles 106.49, 106.49, 90.00 degrees
Fractional coordinates of all 7 atoms:
F (0.0000, 0.0000, 0.0000)
Cd (0.6287, 0.6287, 0.2575)
Cd (0.3713, 0.3713, 0.7425)
La (0.8195, 0.8195, 0.6390)
La (0.1805, 0.1805, 0.3610)
La (0.0000, 0.5000, 0.0000)
La (0.5000, 0.0000, 0.0000)



# 8
Below is LaCd3F after structural relaxation, with properties calculated at the PBE-GGA level.

Computed properties:
SG = Pm-3m (221)

Cell lengths 5.0398, 5.0398, 5.0398 Å; angles 90.00, 90.00, 90.00 degrees
Fractional coordinates of all 5 atoms:
F (0.0000, 0.0000, 0.0000)
Cd (0.0000, 0.5000, 0.0000)
Cd (0.0000, 0.0000, 0.5000)
Cd (0.5000, 0.0000, 0.0000)
La (0.5000, 0.5000, 0.5000)



Number 1: uncorrected formation energy -2929 meV per atom. Number 2: uncorrected formation energy -3126 meV per atom. Number 3: uncorrected formation energy -2480 meV per atom. Number 4: uncorrected formation energy -2521 meV per atom. Number 5: uncorrected formation energy -2166 meV per atom. Number 6: uncorrected formation energy -2140 meV per atom. Number 7: uncorrected formation energy -794 meV per atom. Number 8: uncorrected formation energy -563 meV per atom.